Record 1
Entry from the Alexandria database: a geometry-optimized InGePS2 structure (PBE).

The structure in CIF format:
```
data_InGePS2
_symmetry_space_group_name_H-M 'P 4/m m m'
_symmetry_Int_Tables_number 123
_symmetry_space_group_name_Hall '-P 4 2'
_cell_length_a 4.771
_cell_length_b 4.771
_cell_length_c 4.872
_cell_angle_alpha 90.00
_cell_angle_beta 90.00
_cell_angle_gamma 90.00
loop_
_atom_site_label
_atom_site_fract_x
_atom_site_fract_y
_atom_site_fract_z
In1 0.000 0.000 0.000
Ge1 0.500 0.500 0.500
P1 0.500 0.500 0.000
S1 0.000 0.500 0.500
```

Calculated values
Formation energy from raw total energies in eV/atom: 0.37
Excess energy over the best structure of this formula in the dataset in meV/atom: 0
Density of states at the Fermi level in states/eV/cell: 4.49
Total DFT energy (no corrections) in eV per atom: -3.83

Record 2
Entry from the Alexandria database: a geometry-optimized InSiGeP2 structure (PBE).

The structure in CIF format:
```
data_InSiGeP2
_symmetry_space_group_name_H-M 'P 4/m m m'
_symmetry_Int_Tables_number 123
_symmetry_space_group_name_Hall '-P 4 2'
_cell_length_a 5.111
_cell_length_b 5.111
_cell_length_c 5.078
_cell_angle_alpha 90.00
_cell_angle_beta 90.00
_cell_angle_gamma 90.00
loop_
_atom_site_label
_atom_site_fract_x
_atom_site_fract_y
_atom_site_fract_z
In1 0.000 0.000 0.000
Si1 0.000 0.000 0.500
Ge1 0.500 0.500 0.500
P1 0.000 0.500 0.000
```

Calculated values
Formation energy from raw total energies in eV/atom: 1.29
Density of states at the Fermi level in states/eV/cell: 3.67
Total DFT energy (no corrections) in eV per atom: -3.43

Record 3
Entry from the Alexandria database: a geometry-optimized In2SnGeP4 structure (PBE).

The structure in CIF format:
```
data_In2SnGeP4
_symmetry_space_group_name_H-M 'F m m 2'
_symmetry_Int_Tables_number 42
_symmetry_space_group_name_Hall 'F 2 -2'
_cell_length_a 8.039
_cell_length_b 9.471
_cell_length_c 10.380
_cell_angle_alpha 90.00
_cell_angle_beta 90.00
_cell_angle_gamma 90.00
loop_
_atom_site_label
_atom_site_fract_x
_atom_site_fract_y
_atom_site_fract_z
In1 0.250 0.250 0.000
Sn1 0.000 0.000 0.220
Ge1 0.000 0.000 0.747
P1 0.000 0.227 0.653
P2 0.240 0.000 0.883
```

Calculated values
Formation energy from the elements in kJ/mol of atoms: -1.9
Density of states at the Fermi level in states/eV/cell: 5.59
Total DFT energy (no corrections) in eV per atom: -4.49

Record 4
Entry from the Alexandria database: a geometry-optimized Sr2InGeP structure (PBE).

The structure in CIF format:
```
data_Sr2InGeP
_symmetry_space_group_name_H-M 'P 4/m m m'
_symmetry_Int_Tables_number 123
_symmetry_space_group_name_Hall '-P 4 2'
_cell_length_a 5.924
_cell_length_b 5.924
_cell_length_c 4.985
_cell_angle_alpha 90.00
_cell_angle_beta 90.00
_cell_angle_gamma 90.00
loop_
_atom_site_label
_atom_site_fract_x
_atom_site_fract_y
_atom_site_fract_z
Sr1 0.000 0.500 0.000
In1 0.000 0.000 0.500
Ge1 0.000 0.000 0.000
P1 0.500 0.500 0.500
```

Calculated values
Formation energy from the elements in kJ/mol of atoms: -3.3
Density of states at the Fermi level in states/eV/cell: 3.07
Total DFT energy (no corrections) in eV per atom: -3.26

Record 5
Entry from the Alexandria database: a geometry-optimized PaIn2Ge structure (PBE).

The structure in CIF format:
```
data_PaIn2Ge
_symmetry_space_group_name_H-M 'P 4/m m m'
_symmetry_Int_Tables_number 123
_symmetry_space_group_name_Hall '-P 4 2'
_cell_length_a 4.347
_cell_length_b 4.347
_cell_length_c 4.896
_cell_angle_alpha 90.00
_cell_angle_beta 90.00
_cell_angle_gamma 90.00
loop_
_atom_site_label
_atom_site_fract_x
_atom_site_fract_y
_atom_site_fract_z
Pa1 0.000 0.000 0.000
In1 0.000 0.500 0.500
Ge1 0.500 0.500 0.000
```

Calculated values
Formation energy from the elements in kJ/mol of atoms: -23.1
Excess energy over the best structure of this formula in the dataset in meV/atom: 0
Density of states at the Fermi level in states/eV/cell: 4.50
Total DFT energy (no corrections) in eV per atom: -5.14

Record 6
Entry from the Alexandria database: a geometry-optimized PaIn2Ge structure (PBE).

The structure in CIF format:
```
data_PaIn2Ge
_symmetry_space_group_name_H-M 'R -3 m'
_symmetry_Int_Tables_number 166
_symmetry_space_group_name_Hall '-R 3 2"'
_cell_length_a 3.1930
_cell_length_b 3.1930
_cell_length_c 34.4252
_cell_angle_alpha 90.00
_cell_angle_beta 90.00
_cell_angle_gamma 120.00
loop_
_atom_site_label
_atom_site_fract_x
_atom_site_fract_y
_atom_site_fract_z
Pa1 0.0000 0.0000 0.0000
In1 0.0000 0.0000 0.0935
Ge1 0.0000 0.0000 0.5000
```

Calculated values
Formation energy from the elements in kJ/mol of atoms: 30.4
Excess energy over the best structure of this formula in the dataset in meV/atom: 554
Density of states at the Fermi level in states/eV/cell: 13.56
Total DFT energy (no corrections) in eV per atom: -4.58

Record 7
Entry from the Alexandria database: a geometry-optimized PaInGe4 structure (PBE).

The structure in CIF format:
```
data_PaInGe4
_symmetry_space_group_name_H-M 'F -4 3 m'
_symmetry_Int_Tables_number 216
_symmetry_space_group_name_Hall 'F -4 2 3'
_cell_length_a 7.893
_cell_length_b 7.893
_cell_length_c 7.893
_cell_angle_alpha 90.00
_cell_angle_beta 90.00
_cell_angle_gamma 90.00
loop_
_atom_site_label
_atom_site_fract_x
_atom_site_fract_y
_atom_site_fract_z
Pa1 0.000 0.000 0.000
In1 0.250 0.250 0.250
Ge1 0.124 0.124 0.624
```

Calculated values
Formation energy from the elements in kJ/mol of atoms: 2.1
Density of states at the Fermi level in states/eV/cell: 25.91
Total DFT energy (no corrections) in eV per atom: -5.10

Record 8
Entry from the Alexandria database: a geometry-optimized Pa2InGe3Rh4 structure (PBE).

The structure in CIF format:
```
data_Pa2InGe3Rh4
_symmetry_space_group_name_H-M 'P -4 m 2'
_symmetry_Int_Tables_number 115
_cell_length_a 4.045
_cell_length_b 4.045
_cell_length_c 11.278
_cell_angle_alpha 90.00
_cell_angle_beta 90.00
_cell_angle_gamma 90.00
loop_
_symmetry_equiv_pos_as_xyz
'x,y,z'
'y,-x,-z'
'-x,-y,z'
'-y,x,-z'
'-x,y,z'
'-y,-x,-z'
'x,-y,z'
'y,x,-z'
loop_
_atom_site_label
_atom_site_fract_x
_atom_site_fract_y
_atom_site_fract_z
Pa1 0.000 0.500 0.236
In1 0.000 0.000 0.500
Ge1 0.000 0.500 0.875
Ge2 0.500 0.500 0.500
Rh1 0.000 0.000 0.000
Rh2 0.000 0.500 0.662
Rh3 0.500 0.500 0.000
```

Calculated values
Formation energy from the elements in kJ/mol of atoms: -64.7
Density of states at the Fermi level in states/eV/cell: 10.15
Total DFT energy (no corrections) in eV per atom: -7.17